1.
Below is a geometry-optimized Pm8CuOs2 structure, with properties calculated at the PBE level.

POSCAR file:
```
Pm8CuOs2
1.0
9.036 -2.475 0.000
9.036 2.475 0.000
-1.991 0.000 6.781
Pm Cu Os
8 1 2
direct
0.034 0.034 0.283
0.205 0.205 0.816
0.330 0.330 0.532
0.403 0.403 0.033
0.597 0.597 0.967
0.670 0.670 0.468
0.795 0.795 0.184
0.966 0.966 0.717
0.500 0.500 0.500
0.187 0.187 0.209
0.813 0.813 0.791
```

Results
Its space group is No. 12. Its energy of formation from the pure elements is -0.8 eV/f.u. The value obtained for the relative energy among the computed polymorphs is 0.00 eV/f.u.



2.
Below is a geometry-optimized Rb5PtSeO2 structure, with properties calculated at the PBE level.

POSCAR file:
```
Rb5PtSeO2
1.0
5.661 0.000 0.000
0.000 5.661 0.000
0.000 0.000 9.391
Rb Pt Se O
5 1 1 2
direct
0.000 0.000 0.000
0.000 0.500 0.263
0.000 0.500 0.737
0.500 0.000 0.263
0.500 0.000 0.737
0.000 0.000 0.500
0.500 0.500 0.000
0.000 0.000 0.292
0.000 0.000 0.708
```

Results
Its space group is No. 123. Its uncorrected formation energy is -22.9 kcal/mol of atoms.



3.
Below is a geometry-optimized LiCoSi2 structure, with properties calculated at the PBE level.

POSCAR file:
```
LiCoSi2
1.0
2.709 0.000 0.000
0.000 3.908 0.000
-1.302 0.000 4.570
Li Co Si
1 1 2
direct
0.000 0.000 0.000
0.303 0.500 0.632
0.584 0.500 0.181
0.732 0.000 0.495
```

Results
Its space group is No. 6. Its uncorrected formation energy is -3.8 kcal/mol of atoms. The value obtained for the relative energy among the computed polymorphs is 0.50 eV/f.u.



4.
Below is a geometry-optimized NdPt6Au structure, with properties calculated at the PBE level.

POSCAR file:
```
NdPt6Au
1.0
5.255 0.000 0.000
0.000 5.255 0.000
0.000 0.000 5.255
Nd Pt Au
1 6 1
direct
0.000 0.000 0.000
0.000 0.255 0.500
0.000 0.745 0.500
0.255 0.500 0.000
0.500 0.000 0.255
0.500 0.000 0.745
0.745 0.500 0.000
0.500 0.500 0.500
```

Results
Its space group is No. 200. Its energy of formation from the pure elements is -0.6 eV/f.u.



5.
Below is a geometry-optimized Hf3MgP structure, with properties calculated at the PBE level.

POSCAR file:
```
Hf3MgP
1.0
4.847 0.000 0.000
0.000 4.847 0.000
0.000 0.000 4.847
Hf Mg P
3 1 1
direct
0.000 0.000 0.500
0.000 0.500 0.000
0.500 0.000 0.000
0.500 0.500 0.500
0.000 0.000 0.000
```

Results
Its space group is No. 221. Its energy of formation from the pure elements is -1.1 eV/f.u. The value obtained for the relative energy among the computed polymorphs is 0.00 eV/f.u.



Taking the records one at a time from the top gives DOS at the Fermi energy values of 11.62, 5.64, 1.73, 12.29, 3.73 states/eV per cell.